No. 1
VASP calculation (GGA-PBE) on TiW3Se8 after structural relaxation.

Cell lengths 7.043, 7.043, 12.071 Å; angles 90.00, 90.00, 120.00 degrees
Fractional positions:
Ti (0.667, 0.333, 0.969)
Ti (0.333, 0.667, 0.469)
W (0.803, 0.606, 0.717)
W (0.394, 0.197, 0.717)
W (0.803, 0.197, 0.717)
W (0.197, 0.803, 0.217)
W (0.606, 0.803, 0.217)
W (0.197, 0.394, 0.217)
Se (0.832, 0.665, 0.103)
Se (0.493, 0.507, 0.850)
Se (0.667, 0.333, 0.564)
Se (0.000, 0.000, 0.816)
Se (0.000, 0.000, 0.316)
Se (0.335, 0.168, 0.103)
Se (0.014, 0.507, 0.850)
Se (0.493, 0.986, 0.850)
Se (0.168, 0.832, 0.603)
Se (0.832, 0.168, 0.103)
Se (0.507, 0.014, 0.350)
Se (0.986, 0.493, 0.350)
Se (0.333, 0.667, 0.064)
Se (0.665, 0.832, 0.603)
Se (0.507, 0.493, 0.350)
Se (0.168, 0.335, 0.603)

Properties
The calculation puts the density of states at the Fermi level at 0.175 states/eV per atom. The formation energy from raw total energies comes out at -0.5278 eV per atom. Its space-group type is No. 186. As for the total magnetization: 0.0 μB/f.u.


No. 2
VASP calculation (GGA-PBE) on Tl8Cd3Hg after structural relaxation.

Cell lengths 5.810, 5.810, 11.769 Å; angles 90.00, 90.00, 120.00 degrees
Fractional positions:
Tl (0.333, 0.333, 0.763)
Tl (0.667, 0.000, 0.763)
Tl (0.000, 0.667, 0.763)
Tl (0.667, 0.667, 0.237)
Tl (0.333, 0.000, 0.237)
Tl (0.000, 0.333, 0.237)
Tl (0.333, 0.667, 0.500)
Tl (0.667, 0.333, 0.500)
Cd (0.333, 0.667, 0.000)
Cd (0.667, 0.333, 0.000)
Cd (0.000, 0.000, 0.000)
Hg (0.000, 0.000, 0.500)

Properties
The calculation puts the density of states at the Fermi level at 0.548 states/eV per atom. Its space-group type is No. 162. As for the total magnetization: 0.0 μB/f.u. The calculation puts the uncorrected energy at -1.78 eV per atom.


No. 3
VASP calculation (GGA-PBE) on TiTlBi2F after structural relaxation.

Cell lengths 5.719, 5.719, 3.934 Å; angles 90.00, 90.00, 90.00 degrees
Fractional positions:
Tl (0.500, 0.500, 0.500)
F (0.000, 0.000, 0.500)
Bi (0.000, 0.500, 0.000)
Bi (0.500, 0.000, 0.000)
Ti (0.000, 0.000, 0.000)

Properties
The calculation puts the density of states at the Fermi level at 0.775 states/eV per atom. The formation energy from raw total energies comes out at -0.7625 eV per atom. Its space-group type is No. 123. As for the total magnetization: 0.0 μB/f.u.


No. 4
VASP calculation (GGA-PBE) on Tb2Ce3SmS6 after structural relaxation.

Cell lengths 6.897, 6.897, 6.946 Å; angles 99.54, 99.54, 120.04 degrees
Each line ends with the local moment (μB).
Fractional positions:
Tb (0.333, 0.667, 0.000)  0.00
Tb (0.667, 0.333, 0.000)  0.00
Ce (0.165, 0.835, 0.500)  0.70
Ce (0.835, 0.165, 0.500)  0.70
Ce (0.500, 0.500, 0.500)  0.70
Sm (0.000, 0.000, 0.000)  -0.01
S (0.919, 0.581, 0.757)  -0.01
S (0.743, 0.743, 0.241)  -0.01
S (0.081, 0.419, 0.243)  -0.01
S (0.581, 0.919, 0.757)  -0.01
S (0.257, 0.257, 0.759)  -0.01
S (0.419, 0.081, 0.243)  -0.01

Properties
The calculation puts the density of states at the Fermi level at 1.361 states/eV per atom. The formation energy from raw total energies comes out at -2.0377 eV per atom. Its space-group type is No. 12. As for the total magnetization: 2.5 μB/f.u.